V2Re2W7 (GGA-PBE, optimized geometry); magnetic moment = 0.00 μB per formula unit; DFT total energy = -0.4327 hartree per atom; theoretical density = 16.10 Mg/m³
1.0
-3.5857 -2.8118 -0.1866
-5.1530 -0.2280 8.0101
-5.1762 3.3057 2.4300
V Re W
2 2 7
Cartesian
-5.0233 -2.3169 3.2607
-3.7153 -0.7228 4.5629
-5.7449 0.2895 3.0784
-8.1700 -0.0236 7.1752
-10.2634 -0.9296 8.4050
-6.1776 1.0154 5.8841
-3.6514 1.1955 1.8485
-7.7372 -0.7494 4.3695
-6.5506 -2.0293 6.4058
0.0000 0.0000 0.0000
-2.1881 -1.0104 1.4177